First-principles (PBE) data for an optimized crystal structure of Mg2AlFe, as listed in Alexandria via LeMat-Bulk.

Output
energy relative to the elements: 0.136 eV/atom

Cell lengths 6.368, 6.368, 6.368 Å; angles 90.00, 90.00, 90.00 degrees
Sites, in units of the cell vectors:
Mg 0.000 0.000 0.000
Mg 0.000 0.500 0.500
Mg 0.250 0.250 0.250
Mg 0.250 0.750 0.750
Mg 0.500 0.000 0.500
Mg 0.500 0.500 0.000
Mg 0.750 0.250 0.750
Mg 0.750 0.750 0.250
Al 0.250 0.250 0.750
Al 0.250 0.750 0.250
Al 0.750 0.250 0.250
Al 0.750 0.750 0.750
Fe 0.000 0.000 0.500
Fe 0.000 0.500 0.000
Fe 0.500 0.000 0.000
Fe 0.500 0.500 0.500

=====

First-principles (PBE) data for an optimized crystal structure of Ho2Er3Hg7, as listed in Alexandria via LeMat-Bulk.

Output
energy relative to the elements: -0.290 eV/atom

Cell lengths 11.697, 11.697, 5.386 Å; angles 90.00, 90.00, 154.50 degrees
Sites, in units of the cell vectors:
Ho 0.145 0.855 0.000
Ho 0.855 0.145 0.000
Er 0.336 0.664 0.500
Er 0.500 0.500 0.500
Er 0.664 0.336 0.500
Hg 0.000 0.000 0.000
Hg 0.083 0.917 0.500
Hg 0.279 0.721 0.000
Hg 0.425 0.575 0.000
Hg 0.575 0.425 0.000
Hg 0.721 0.279 0.000
Hg 0.917 0.083 0.500

=====

First-principles (PBE) data for an optimized crystal structure of AcCeTeIr, as listed in Alexandria via LeMat-Bulk.

Output
uncorrected formation energy: -1033 meV/atom

Cell lengths 4.244, 4.244, 23.736 Å; angles 90.00, 90.00, 120.00 degrees
Sites, in units of the cell vectors:
Ac 0.000 0.000 0.000
Ac 0.333 0.667 0.667
Ac 0.667 0.333 0.333
Ce 0.000 0.000 0.804
Ce 0.333 0.667 0.470
Ce 0.667 0.333 0.137
Te 0.000 0.000 0.228
Te 0.333 0.667 0.895
Te 0.667 0.333 0.561
Ir 0.000 0.000 0.411
Ir 0.333 0.667 0.077
Ir 0.667 0.333 0.744

=====

Number 1: V 65 Å³/f.u., mass density 3380 kg/m3. Number 2: V 317 Å³/f.u., mass density 11703 kg/m3. Number 3: V 123 Å³/f.u., mass density 9240 kg/m3.